[1]
Computed, not measured: a geometry-optimized LaCd4Sb structure at the PBE level of DFT.

V   156.0 Å³/cell
Formation energy from raw total energies   -3.81 kcal/mol of atoms
Space-group type   F-43m (216)

abc: 6.043 6.043 6.043
angles: 60.00 60.00 60.00
Positions (direct):
La 0.000 0.000 0.000
Cd 0.375 0.375 0.375
Cd 0.375 0.375 0.874
Cd 0.375 0.874 0.375
Cd 0.874 0.375 0.375
Sb 0.750 0.750 0.750


[2]
Computed, not measured: a geometry-optimized Rb2TmIO6 structure at the PBE level of DFT.

V   213.4 Å³/cell
Formation energy from raw total energies   -35.91 kcal/mol of atoms
Space-group type   P-3m1 (164)

abc: 6.535 6.535 5.769
angles: 90.00 90.00 120.00
Positions (direct):
Rb 0.333 0.667 0.380
Rb 0.667 0.333 0.620
Tm 0.000 0.000 0.000
I 0.000 0.000 0.500
O 0.134 0.268 0.705
O 0.134 0.866 0.705
O 0.268 0.134 0.295
O 0.732 0.866 0.705
O 0.866 0.134 0.295
O 0.866 0.732 0.295


[3]
Computed, not measured: a geometry-optimized PmPuSnHg structure at the PBE level of DFT.

Energy above the lowest structure with this stoichiometry   0.00 kcal/mol of atoms
V   110.9 Å³/cell
Space-group type   F-43m (216)
E_form   -403 meV per atom

abc: 5.393 5.393 5.393
angles: 60.00 60.00 60.00
Positions (direct):
Pm 0.000 0.000 0.000
Pu 0.500 0.500 0.500
Sn 0.750 0.750 0.750
Hg 0.250 0.250 0.250


[4]
Computed, not measured: a geometry-optimized KIN2O structure at the PBE level of DFT.

V   143.1 Å³/cell
Formation energy from raw total energies   49.78 kcal/mol of atoms
Space-group type   P4/mmm (123)

abc: 5.389 5.389 4.927
angles: 90.00 90.00 90.00
Positions (direct):
K 0.000 0.000 0.000
I 0.500 0.500 0.500
N 0.000 0.500 0.000
N 0.500 0.000 0.000
O 0.000 0.000 0.500


[5]
Computed, not measured: a geometry-optimized SrLiNdCu structure at the PBE level of DFT.

V   107.8 Å³/cell
Space-group type   F-43m (216)
E_form   79 meV per atom

abc: 5.342 5.342 5.342
angles: 60.00 60.00 60.00
Positions (direct):
Sr 0.000 0.000 0.000
Li 0.250 0.250 0.250
Nd 0.500 0.500 0.500
Cu 0.750 0.750 0.750


[6]
Computed, not measured: a geometry-optimized GdZn4Mo structure at the PBE level of DFT.

V   100.6 Å³/cell
Space-group type   F-43m (216)
E_form   -75 meV per atom

abc: 5.221 5.221 5.221
angles: 60.00 60.00 60.00
Positions (direct):
Gd 0.000 0.000 0.000
Zn 0.130 0.623 0.623
Zn 0.623 0.130 0.623
Zn 0.623 0.623 0.130
Zn 0.623 0.623 0.623
Mo 0.250 0.250 0.250


[7]
Computed, not measured: a geometry-optimized Y2TeRuRh structure at the PBE level of DFT.

V   147.7 Å³/cell
Formation energy from raw total energies   13.70 kcal/mol of atoms
Space-group type   P4/mmm (123)

abc: 5.593 5.593 4.722
angles: 90.00 90.00 90.00
Positions (direct):
Y 0.000 0.500 0.000
Y 0.500 0.000 0.000
Te 0.000 0.000 0.000
Ru 0.500 0.500 0.500
Rh 0.000 0.000 0.500


[8]
Computed, not measured: a geometry-optimized Pu2ZnGa structure at the PBE level of DFT.

V   64.5 Å³/cell
Space-group type   P4/mmm (123)
E_form   129 meV per atom

abc: 3.578 3.578 5.040
angles: 90.00 90.00 90.00
Positions (direct):
Pu 0.000 0.500 0.000
Pu 0.500 0.000 0.000
Zn 0.000 0.000 0.500
Ga 0.500 0.500 0.500


[9]
Computed, not measured: a geometry-optimized Rb4BiO structure at the PBE level of DFT.

Energy above the lowest structure with this stoichiometry   0.00 kcal/mol of atoms
V   471.0 Å³/cell
Formation energy from raw total energies   -13.83 kcal/mol of atoms
Space-group type   C2/c (15)

abc: 9.762 9.762 7.616
angles: 105.44 105.44 42.63
Positions (direct):
Rb 0.030 0.766 0.560
Rb 0.234 0.970 0.940
Rb 0.245 0.369 0.845
Rb 0.369 0.245 0.345
Rb 0.631 0.755 0.655
Rb 0.755 0.631 0.155
Rb 0.766 0.030 0.060
Rb 0.970 0.234 0.440
Bi 0.397 0.603 0.250
Bi 0.603 0.397 0.750
O 0.000 0.500 0.500
O 0.500 0.000 0.000


[10]
Computed, not measured: a geometry-optimized AlTlGe2 structure at the PBE level of DFT.

Energy above the lowest structure with this stoichiometry   1.25 kcal/mol of atoms
V   94.4 Å³/cell
Space-group type   R-3m (166)
E_form   209 meV per atom

abc: 7.114 7.114 7.114
angles: 32.87 32.87 32.87
Positions (direct):
Al 0.000 0.000 0.000
Tl 0.500 0.500 0.500
Ge 0.273 0.273 0.273
Ge 0.727 0.727 0.727


[11]
Computed, not measured: a geometry-optimized LuPu2Tc structure at the PBE level of DFT.

Energy above the lowest structure with this stoichiometry   0.00 kcal/mol of atoms
V   93.6 Å³/cell
Space-group type   P4/mmm (123)
E_form   78 meV per atom

abc: 3.289 3.289 8.655
angles: 90.00 90.00 90.00
Positions (direct):
Lu 0.000 0.000 0.000
Pu 0.500 0.500 0.296
Pu 0.500 0.500 0.704
Tc 0.000 0.000 0.500


[12]
Computed, not measured: a geometry-optimized CaPaBi2N structure at the PBE level of DFT.

V   286.1 Å³/cell
Formation energy from raw total energies   -19.68 kcal/mol of atoms
Space-group type   P4/nmm (129)

abc: 3.984 3.984 18.024
angles: 90.00 90.00 90.00
Positions (direct):
Ca 0.250 0.250 0.151
Ca 0.750 0.750 0.849
Pa 0.250 0.250 0.564
Pa 0.750 0.750 0.436
Bi 0.250 0.250 0.328
Bi 0.250 0.250 0.945
Bi 0.750 0.750 0.055
Bi 0.750 0.750 0.672
N 0.250 0.750 0.500
N 0.750 0.250 0.500